VASP calculation (PBE) on Y2Pd2Rh after structural relaxation.

The space group is Ibam (No. 72) and the conventional cell measures 6.221, 12.103 and 5.699 Å, with angles of 90.00, 90.00 and 90.00 degrees. The asymmetric unit holds Y at (0.224, 0.159, 0.000), Pd at (0.169, 0.400, 0.000) and Rh at (0.000, 0.000, 0.250).

The formation energy is -0.642 eV per atom. For the polymorph energy (0 for the lowest one), the calculation gives 7.3 kJ per mole of atoms. The density of states at the Fermi level comes out at 3.803 states/eV/f.u. As for the total moment: 0.0 μB per formula unit.